[1]
Below is SrInHgPt after structural relaxation, with properties calculated at the PBE-GGA level.

electronic total energy: -49.70 eV per cell
energy relative to the elements: -0.42 eV/atom

Lattice parameters (Å, degrees): 7.2968 7.2968 7.2968 90.00 90.00 90.00
With the nearest neighbours (Å) after each atom.
Space group F-43m (No. 216)
Unique sites:
Sr  0.0000  0.0000  0.0000 x4  4 Hg 3.16, 4 Pt 3.16
In  0.0000  0.0000  0.5000 x4  4 Hg 3.16, 4 Pt 3.16
Hg  0.2500  0.2500  0.2500 x4  4 In 3.16, 4 Sr 3.16
Pt  0.2500  0.2500  0.7500 x4  4 In 3.16, 4 Sr 3.16



[2]
Below is SrIn2HgPt after structural relaxation, with properties calculated at the PBE-GGA level.

electronic total energy: -15.62 eV per cell
energy relative to the elements: -0.42 eV/atom

Lattice parameters (Å, degrees): 5.2593 5.2593 5.9925 90.00 90.00 90.00
With the nearest neighbours (Å) after each atom.
Space group P4/mmm (No. 123)
Unique sites:
Sr  0.0000  0.0000  0.0000 x1  2 Pt 3.00
In  0.0000  0.5000  0.5000 x2  2 Pt 2.63
Hg  0.5000  0.5000  0.0000 x1  4 Sr 3.72, 8 In 3.99
Pt  0.0000  0.0000  0.5000 x1  4 In 2.63